# 1
Here is a geometry-optimized SiRhW structure from Alexandria. Energies are from PBE.

Computed properties:
As for the formation energy (no corrections): -0.283 eV per atom.

Cell: 4.215 4.215 2.766 Å, 90.00 90.00 120.00°
Fractional coordinates of all 3 atoms:
Si 0.333 0.667 0.167
Rh 0.000 0.000 0.167
W 0.667 0.333 0.667

=====

# 2
Here is a geometry-optimized Si2RhW structure from Alexandria. Energies are from PBE.

Computed properties:
As for the formation energy (no corrections): -0.364 eV per atom.

Cell: 4.785 4.785 4.435 Å, 74.01 74.01 34.64°
Fractional coordinates of all 4 atoms:
Si 0.746 0.746 0.693
Si 0.002 0.002 0.062
W 0.494 0.494 0.571
Rh 0.257 0.257 0.174

=====

# 3
Here is a geometry-optimized SiRhW structure from Alexandria. Energies are from PBE.

Computed properties:
As for the formation energy (no corrections): -0.007 eV per atom.

Cell: 4.128 4.128 4.128 Å, 60.00 60.00 60.00°
Fractional coordinates of all 3 atoms:
Rh 0.750 0.750 0.750
Si 0.000 0.000 0.000
W 0.500 0.500 0.500

=====

# 4
Here is a geometry-optimized SiRhW3 structure from Alexandria. Energies are from PBE.

Computed properties:
As for the formation energy (no corrections): 1.312 eV per atom.

Cell: 4.444 4.444 4.444 Å, 90.00 90.00 90.00°
Fractional coordinates of all 5 atoms:
Si 0.000 0.000 0.000
W 0.500 0.000 0.000
W 0.000 0.000 0.500
W 0.000 0.500 0.000
Rh 0.500 0.500 0.500

=====

# 5
Here is a geometry-optimized SiRhW structure from Alexandria. Energies are from PBE.

Computed properties:
As for the formation energy (no corrections): -0.163 eV per atom.

Cell: 2.806 2.806 6.327 Å, 90.00 90.00 120.00°
Fractional coordinates of all 3 atoms:
W 0.333 0.667 0.662
Rh 0.000 0.000 0.017
Si 0.667 0.333 0.321

=====

# 6
Here is a geometry-optimized Si2RhW structure from Alexandria. Energies are from PBE.

Computed properties:
As for the formation energy (no corrections): 0.230 eV per atom.

Cell: 6.487 6.487 5.450 Å, 53.47 53.47 90.00°
Fractional coordinates of all 8 atoms:
Si 0.148 0.625 0.250
Si 0.602 0.125 0.250
Si 0.375 0.398 0.750
Si 0.875 0.852 0.750
W 0.750 0.250 0.500
W 0.000 0.000 0.000
Rh 0.500 0.500 0.000
Rh 0.250 0.750 0.500

=====

# 7
Here is a geometry-optimized Si2RhW structure from Alexandria. Energies are from PBE.

Computed properties:
As for the formation energy (no corrections): -0.200 eV per atom.

Cell: 5.291 5.291 5.291 Å, 147.61 134.53 56.92°
Fractional coordinates of all 4 atoms:
Si 0.017 0.017 0.000
Si 0.754 0.254 0.500
Rh 0.233 0.733 0.500
W 0.497 0.497 0.000

=====

# 8
Here is a geometry-optimized Si2RhW structure from Alexandria. Energies are from PBE.

Computed properties:
As for the formation energy (no corrections): -0.269 eV per atom.

Cell: 4.253 4.253 4.253 Å, 60.00 60.00 60.00°
Fractional coordinates of all 4 atoms:
Si 0.750 0.750 0.750
Si 0.250 0.250 0.250
Rh 0.000 0.000 0.000
W 0.500 0.500 0.500

=====

# 9
Here is a geometry-optimized Si2RhW structure from Alexandria. Energies are from PBE.

Computed properties:
As for the formation energy (no corrections): -0.082 eV per atom.

Cell: 8.125 8.125 8.125 Å, 20.49 20.49 20.49°
Fractional coordinates of all 4 atoms:
W 0.502 0.502 0.502
Si 0.001 0.001 0.001
Si 0.254 0.254 0.254
Rh 0.743 0.743 0.743

=====

# 10
Here is a geometry-optimized Si2RhW structure from Alexandria. Energies are from PBE.

Computed properties:
As for the formation energy (no corrections): -0.016 eV per atom.

Cell: 2.736 2.736 7.799 Å, 90.00 90.00 90.00°
Fractional coordinates of all 4 atoms:
Si 0.000 0.000 0.974
Si 0.500 0.500 0.259
Rh 0.500 0.500 0.762
W 0.000 0.000 0.506

=====

# 11
Here is a geometry-optimized Zr2SiRhW structure from Alexandria. Energies are from PBE.

Computed properties:
As for the formation energy (no corrections): 0.857 eV per atom.

Cell: 5.006 4.619 5.006 Å, 90.00 90.00 90.00°
Fractional coordinates of all 5 atoms:
Rh 0.500 0.500 0.500
Zr 0.500 0.000 0.000
Zr 0.000 0.000 0.500
Si 0.000 0.500 0.000
W 0.000 0.000 0.000

=====

# 12
Here is a geometry-optimized YSi2Rh structure from Alexandria. Energies are from PBE.

Computed properties:
As for the formation energy (no corrections): -0.422 eV per atom.

Cell: 5.444 5.444 5.444 Å, 147.76 122.05 67.88°
Fractional coordinates of all 4 atoms:
Si 0.535 0.535 0.000
Si 0.965 0.965 0.000
Y 0.250 0.750 0.500
Rh 0.750 0.250 0.500

=====

# 13
Here is a geometry-optimized YSi4Rh4 structure from Alexandria. Energies are from PBE.

Computed properties:
As for the formation energy (no corrections): -0.712 eV per atom.

Cell: 4.718 7.992 7.992 Å, 90.00 90.00 90.00°
Fractional coordinates of all 18 atoms:
Rh 0.417 0.628 0.136
Rh 0.583 0.136 0.372
Rh 0.917 0.364 0.128
Rh 0.083 0.128 0.636
Rh 0.583 0.864 0.628
Rh 0.083 0.872 0.364
Rh 0.917 0.636 0.872
Rh 0.417 0.372 0.864
Si 0.079 0.194 0.351
Si 0.921 0.351 0.806
Si 0.579 0.149 0.694
Si 0.421 0.694 0.851
Si 0.921 0.649 0.194
Si 0.421 0.306 0.149
Si 0.579 0.851 0.306
Si 0.079 0.806 0.649
Y 0.000 0.000 0.000
Y 0.500 0.500 0.500

=====

# 14
Here is a geometry-optimized Y3Si8Rh3 structure from Alexandria. Energies are from PBE.

Computed properties:
As for the formation energy (no corrections): -0.707 eV per atom.

Cell: 4.148 7.716 8.487 Å, 64.42 75.86 74.41°
Fractional coordinates of all 14 atoms:
Si 0.888 0.849 0.374
Si 0.864 0.432 0.841
Si 0.636 0.977 0.750
Si 0.517 0.676 0.289
Si 0.112 0.151 0.626
Si 0.364 0.023 0.250
Si 0.136 0.568 0.159
Si 0.483 0.324 0.711
Rh 0.322 0.343 0.013
Rh 0.678 0.657 0.987
Rh 0.000 0.500 0.500
Y 0.000 0.000 0.000
Y 0.702 0.243 0.352
Y 0.298 0.757 0.648

=====

# 15
Here is a geometry-optimized YSi2Rh structure from Alexandria. Energies are from PBE.

Computed properties:
As for the formation energy (no corrections): -0.368 eV per atom.

Cell: 4.592 4.592 4.592 Å, 60.00 60.00 60.00°
Fractional coordinates of all 4 atoms:
Si 0.750 0.750 0.750
Si 0.250 0.250 0.250
Rh 0.500 0.500 0.500
Y 0.000 0.000 0.000

=====

# 16
Here is a geometry-optimized YSi3Rh structure from Alexandria. Energies are from PBE.

Computed properties:
As for the formation energy (no corrections): 1.616 eV per atom.

Cell: 5.105 5.105 5.105 Å, 90.00 90.00 90.00°
Fractional coordinates of all 5 atoms:
Si 0.500 0.000 0.000
Si 0.000 0.500 0.000
Si 0.000 0.000 0.500
Rh 0.500 0.500 0.500
Y 0.000 0.000 0.000

=====

# 17
Here is a geometry-optimized YSiRh2 structure from Alexandria. Energies are from PBE.

Computed properties:
As for the formation energy (no corrections): -0.702 eV per atom.

Cell: 4.285 4.287 3.587 Å, 90.00 90.00 90.00°
Fractional coordinates of all 4 atoms:
Rh 0.000 0.000 0.000
Rh 0.500 0.500 0.000
Y 0.000 0.500 0.500
Si 0.500 0.000 0.500

=====

# 18
Here is a geometry-optimized Y3Si2Rh2 structure from Alexandria. Energies are from PBE.

Computed properties:
As for the formation energy (no corrections): -0.957 eV per atom.

Cell: 5.610 7.754 13.111 Å, 90.00 90.00 90.00°
Fractional coordinates of all 28 atoms:
Si 0.859 0.396 0.250
Si 0.623 0.750 0.000
Si 0.141 0.604 0.750
Si 0.859 0.104 0.750
Si 0.377 0.250 0.000
Si 0.141 0.896 0.250
Si 0.623 0.750 0.500
Si 0.377 0.250 0.500
Rh 0.635 0.033 0.910
Rh 0.365 0.533 0.910
Rh 0.365 0.967 0.410
Rh 0.635 0.033 0.590
Rh 0.635 0.467 0.410
Rh 0.635 0.467 0.090
Rh 0.365 0.967 0.090
Rh 0.365 0.533 0.590
Y 0.864 0.107 0.397
Y 0.864 0.107 0.103
Y 0.864 0.393 0.897
Y 0.371 0.248 0.250
Y 0.136 0.893 0.897
Y 0.136 0.607 0.103
Y 0.629 0.752 0.750
Y 0.371 0.252 0.750
Y 0.136 0.607 0.397
Y 0.864 0.393 0.603
Y 0.629 0.748 0.250
Y 0.136 0.893 0.603

=====

# 19
Here is a geometry-optimized YSi4Rh6 structure from Alexandria. Energies are from PBE.

Computed properties:
As for the formation energy (no corrections): -0.999 eV per atom.

Cell: 3.780 7.031 7.031 Å, 120.00 90.00 90.00°
Fractional coordinates of all 11 atoms:
Si 0.500 0.400 0.200
Si 0.000 0.333 0.667
Si 0.500 0.800 0.600
Si 0.500 0.800 0.200
Rh 0.000 0.533 0.467
Rh 0.500 0.198 0.396
Rh 0.000 0.533 0.066
Rh 0.500 0.604 0.802
Rh 0.500 0.198 0.802
Rh 0.000 0.934 0.467
Y 0.000 0.000 0.000

=====

# 20
Here is a geometry-optimized YSi2Rh structure from Alexandria. Energies are from PBE.

Computed properties:
As for the formation energy (no corrections): -0.553 eV per atom.

Cell: 3.930 4.542 4.542 Å, 94.74 90.00 90.00°
Fractional coordinates of all 4 atoms:
Si 0.500 0.879 0.486
Si 0.500 0.514 0.121
Rh 0.500 0.377 0.623
Y 0.000 0.010 0.990